No. 1
LuHfNbAl PBE optimized geometry; formation energy from the elements = -0.02 eV per atom
1.0
4.894 0.000 0.000
2.447 4.238 0.000
2.447 1.413 3.996
Nb Lu Hf Al
1 1 1 1
direct
0.000 0.000 0.000 Nb
0.250 0.250 0.250 Lu
0.750 0.750 0.750 Hf
0.500 0.500 0.500 Al

=====

No. 2
Dy4AuSeS2 PBE optimized geometry; E_form (uncorrected) = -1.619 eV/atom
1.0
3.924 0.000 0.000
0.000 7.072 -0.223
0.000 2.409 6.566
Dy Au Se S
4 1 1 2
direct
0.000 0.766 0.744 Dy
0.000 0.234 0.256 Dy
0.500 0.762 0.247 Dy
0.500 0.238 0.753 Dy
0.000 0.500 0.500 Au
0.500 0.500 0.000 Se
0.000 0.000 0.000 S
0.500 0.000 0.500 S

=====

Final energy (computed, eV per atom): -7.096, -5.797
DOS at the Fermi energy (computed, states/eV/f.u.): 5.6, 4.9